Entry from the Alexandria database: a relaxed structure of CsH (PBE-GGA).

Output
- Total DFT energy (no corrections): -2.257 eV/atom

a b c (Å): 4.3819 4.3819 23.0053
angles (deg): 90.00 90.00 120.00
Space group R3m (No. 160, hexagonal axes)
Asymmetric unit:
Cs: 0.0000 0.0000 0.0000
Cs: 0.0000 0.0000 0.1697
H: 0.0000 0.0000 0.5849
H: 0.0000 0.0000 0.7517

***

Entry from the Alexandria database: a relaxed structure of Ho8Si3Te4P (PBE-GGA).

Output
- Formation energy without anion corrections: -1.210 eV per atom

a b c (Å): 8.3562 8.3562 21.1310
angles (deg): 90.00 90.00 120.00
Space group R-3m (No. 166, hexagonal axes)
Asymmetric unit:
Ho: 0.0000 0.0000 0.2397
Ho: 0.9999 0.4999 0.2385
Si: 0.0000 0.5000 0.5000
Te: 0.0000 0.0000 0.0000
Te: 0.0000 0.5000 0.0000
P: 0.0000 0.0000 0.5000

***

Entry from the Alexandria database: a relaxed structure of CdRh2 (PBE-GGA).

Output
- Energy of formation: 0.12 eV/f.u.

a b c (Å): 10.164 2.817 7.097
angles (deg): 90.00 108.18 90.00
Space group C2/m (No. 12)
Asymmetric unit:
Cd: 0.174 0.000 0.132
Rh: 0.039 0.500 0.774
Rh: 0.140 0.000 0.521

***

Please write out number 3 again, unchanged.
Entry from the Alexandria database: a relaxed structure of CdRh2 (PBE-GGA).

Output
- Energy of formation: 0.12 eV/f.u.

a b c (Å): 10.164 2.817 7.097
angles (deg): 90.00 108.18 90.00
Space group C2/m (No. 12)
Asymmetric unit:
Cd: 0.174 0.000 0.132
Rh: 0.039 0.500 0.774
Rh: 0.140 0.000 0.521